# PBE Ga2AgRh, optimized geometry
# **N(E_F)**: 0.55 states/eV/atom
# **ΔE to the lowest computed polymorph**: 1.086 eV/f.u.
data_Ga2AgRh
_chemical_formula_sum 'Ga8 Ag4 Rh4'
_symmetry_space_group_name_H-M 'I -4 2 d'
_symmetry_Int_Tables_number 122
_symmetry_space_group_name_Hall 'I -4 2bw'
_cell_length_a 4.016
_cell_length_b 4.016
_cell_length_c 17.418
_cell_angle_alpha 90.00
_cell_angle_beta 90.00
_cell_angle_gamma 90.00
loop_
_atom_site_label
_atom_site_type_symbol
_atom_site_fract_x
_atom_site_fract_y
_atom_site_fract_z
Ga1 Ga 0.227 0.250 0.125
Ag1 Ag 0.000 0.000 0.500
Rh1 Rh 0.000 0.000 0.000



# PBE Ga4AgRh5, optimized geometry
# **DFT total energy**: -57.1 eV per formula unit
# **N(E_F)**: 0.30 states/eV/atom
data_Ga4AgRh5
_chemical_formula_sum 'Ga4 Ag1 Rh5'
_symmetry_space_group_name_H-M 'P 4/m m m'
_symmetry_Int_Tables_number 123
_symmetry_space_group_name_Hall '-P 4 2'
_cell_length_a 3.031
_cell_length_b 3.031
_cell_length_c 15.691
_cell_angle_alpha 90.00
_cell_angle_beta 90.00
_cell_angle_gamma 90.00
loop_
_atom_site_label
_atom_site_type_symbol
_atom_site_fract_x
_atom_site_fract_y
_atom_site_fract_z
Ga1 Ga 0.000 0.000 0.098
Ga2 Ga 0.000 0.000 0.295
Ag1 Ag 0.000 0.000 0.500
Rh1 Rh 0.500 0.500 0.000
Rh2 Rh 0.500 0.500 0.191
Rh3 Rh 0.500 0.500 0.380



# PBE GaAg2Rh, optimized geometry
# **DFT total energy**: -14.8 eV per formula unit
# **N(E_F)**: 0.81 states/eV/atom
data_GaAg2Rh
_chemical_formula_sum 'Ga3 Ag6 Rh3'
_symmetry_space_group_name_H-M 'R -3 m'
_symmetry_Int_Tables_number 166
_symmetry_space_group_name_Hall '-R 3 2"'
_cell_length_a 2.8064
_cell_length_b 2.8064
_cell_length_c 30.6265
_cell_angle_alpha 90.00
_cell_angle_beta 90.00
_cell_angle_gamma 120.00
loop_
_atom_site_label
_atom_site_type_symbol
_atom_site_fract_x
_atom_site_fract_y
_atom_site_fract_z
Ga1 Ga 0.0000 0.0000 0.0000
Ag1 Ag 0.0000 0.0000 0.4116
Rh1 Rh 0.0000 0.0000 0.5000